# SrAc6Ho (GGA-PBE, relaxed)
data_SrAc6Ho
_cell_length_a 5.586
_cell_length_b 5.586
_cell_length_c 11.219
_cell_angle_alpha 90.00
_cell_angle_beta 90.00
_cell_angle_gamma 90.00
_symmetry_space_group_name_H-M 'P 4/m m m'
_symmetry_Int_Tables_number 123
_symmetry_space_group_name_Hall '-P 4 2'
loop_
_atom_site_label
_atom_site_type_symbol
_atom_site_fract_x
_atom_site_fract_y
_atom_site_fract_z
Sr1 Sr 0.000 0.000 0.000
Ac1 Ac 0.000 0.500 0.261
Ac2 Ac 0.500 0.500 0.000
Ac3 Ac 0.500 0.500 0.500
Ho1 Ho 0.000 0.000 0.500
# - density of states at the Fermi level (states/eV per atom) = 1.68
# - size of the total moment (μB per atom) = 0.000
# - VASP energy (eV/f.u.) = -30.5